P | 4
Lattice="3.8602 -0.0689 0.0328 1.7888 3.6882 0.0137 0.1077 0.3282 6.7479" Properties=species:S:1:pos:R:3 comment="BaHfGeB (PBE, relaxed)" volume_a3_per_atom=24.2 dos_ef_per_ev_atom=0.74 crystal_system=triclinic pbc="T T T"
B 3.9268 3.1260 5.2481
Hf 1.9622 1.7747 5.9597
Ge 3.8517 2.8407 0.6566
Ba 3.9801 0.4586 2.9924

***

Q | 8
Lattice="3.4184 0.0000 0.0000 0.0000 3.8755 0.0000 0.0000 0.0000 13.6752" Properties=species:S:1:pos:R:3 comment="BaHfGeB (PBE, relaxed)" volume_a3_per_atom=22.6 dos_ef_per_ev_atom=0.54 crystal_system=orthorhombic pbc="T T T"
B 0.0000 1.9377 10.8714
B 0.0000 0.0000 4.0337
Ge 1.7092 0.0000 5.4926
Ge 1.7092 1.9377 12.3303
Hf 1.7092 0.0000 10.5353
Hf 1.7092 1.9377 3.6977
Ba 0.0000 0.0000 0.7052
Ba 0.0000 1.9377 7.5428

***

Which structure loses on stability? P does.

***

P | 12
Lattice="3.7818 0.0000 0.0000 0.0000 5.1669 0.0000 -1.8909 0.0000 6.1231" Properties=species:S:1:pos:R:3 comment="BaBH4 (PBE, relaxed)" volume_a3_per_atom=10.0 dos_ef_per_ev_atom=0.11 crystal_system=orthorhombic pbc="T T T"
B 0.0000 3.8752 1.3113
B 1.8909 1.2917 4.8119
H 0.0000 0.0000 0.0000
H 1.8909 2.2526 3.9702
H 0.0000 2.9144 2.1529
H 1.8909 3.8752 1.2420
H 0.0000 4.8361 2.1529
H 0.0000 2.5835 0.0000
H 1.8909 0.3309 3.9702
H 0.0000 1.2917 4.8811
Ba 0.0000 3.8752 4.7431
Ba 1.8909 1.2917 1.3800

***

Q | 12
Lattice="-3.0658 2.8117 -1.6561 -2.9539 -3.6367 -0.7062 -1.8010 0.2688 6.1493" Properties=species:S:1:pos:R:3 comment="BaBH4 (PBE, relaxed)" volume_a3_per_atom=11.2 dos_ef_per_ev_atom=0.09 crystal_system=monoclinic pbc="T T T"
H -2.4793 -0.5018 5.0074
H -2.2156 0.8357 3.5806
H -1.5329 1.4059 -0.8280
H -4.3852 0.1099 0.4980
H -5.3414 -0.0544 -1.2204
H -3.0098 -0.4125 -1.1811
H -5.6051 -1.3920 0.2064
H -3.4355 -0.6662 3.2890
Ba -1.9157 -0.1909 1.0487
Ba -5.9050 -0.3653 2.7383
B -4.6908 -0.7399 -0.4115
B -3.1299 0.1837 4.1985

***

Which structure loses on stability? P does.

***

P | 5
Lattice="5.4489 0.0000 0.0000 0.0000 5.4489 0.0000 0.0000 0.0000 5.4489" Properties=species:S:1:pos:R:3 comment="BaB3H (PBE, relaxed)" volume_a3_per_atom=32.4 dos_ef_per_ev_atom=1.10 crystal_system=cubic pbc="T T T"
H 2.7245 2.7245 2.7245
B 0.0000 2.7245 0.0000
B 0.0000 0.0000 2.7245
B 2.7245 0.0000 0.0000
Ba 0.0000 0.0000 0.0000

***

Q | 5
Lattice="4.1319 0.0000 0.0000 0.0000 4.1319 0.0000 0.0000 0.0000 4.1319" Properties=species:S:1:pos:R:3 comment="BaB3H (PBE, relaxed)" volume_a3_per_atom=14.1 dos_ef_per_ev_atom=0.77 crystal_system=cubic pbc="T T T"
B 0.0000 2.0660 0.0000
B 0.0000 0.0000 2.0660
B 2.0660 0.0000 0.0000
Ba 2.0660 2.0660 2.0660
H 0.0000 0.0000 0.0000

***

Which structure loses on stability? P does.